Entry from Alexandria: a relaxed structure of MnTl2P (PBE).

The structure in POSCAR format:
```
MnTl2P
1.0
0.0000 3.5602 3.5602
3.5602 0.0000 3.5602
3.5602 3.5602 0.0000
Mn Tl P
1 2 1
Direct
0.0000 0.0000 0.0000
0.5000 0.5000 0.5000
0.7500 0.7500 0.7500
0.2500 0.2500 0.2500
```

Calculated values
Calculated density (Mg/m³): 9.10
Formation energy from the elements (meV/atom): 538
Distance to the lowest polymorph of the same formula (meV/atom): 483

***

Entry from Alexandria: a relaxed structure of CaSm12Dy6 (PBE).

The structure in POSCAR format:
```
CaSm12Dy6
1.0
6.6609 3.8457 4.3008
-6.6609 3.8457 4.3008
0.0000 -7.6913 4.3008
Ca Sm Dy
1 12 6
Direct
0.0000 0.0000 0.0000
0.0854 0.3587 0.3587
0.2393 0.5000 0.7607
0.2393 0.7607 0.5000
0.3587 0.0854 0.3587
0.3587 0.3587 0.0854
0.5000 0.2393 0.7607
0.5000 0.7607 0.2393
0.6413 0.6413 0.9146
0.6413 0.9146 0.6413
0.7607 0.2393 0.5000
0.7607 0.5000 0.2393
0.9146 0.6413 0.6413
0.0988 0.0988 0.6557
0.0988 0.6557 0.0988
0.3443 0.9012 0.9012
0.6557 0.0988 0.0988
0.9012 0.3443 0.9012
0.9012 0.9012 0.3443
```

Calculated values
Calculated density (Mg/m³): 7.08
Formation energy from the elements (meV/atom): 191

***

Entry from Alexandria: a relaxed structure of CdSbPb (PBE).

The structure in POSCAR format:
```
CdSbPb
1.0
2.2762 1.3142 10.4634
-2.2762 1.3142 10.4634
0.0000 -2.6283 10.4634
Cd Sb Pb
2 2 2
Direct
0.2306 0.2306 0.2306
0.7694 0.7694 0.7694
0.3949 0.3949 0.3949
0.6051 0.6051 0.6051
0.0000 0.0000 0.0000
0.5000 0.5000 0.5000
```

Calculated values
Calculated density (Mg/m³): 7.81
Final energy (eV per atom): -2.871

***

Entry from Alexandria: a relaxed structure of BaGe2CBr (PBE).

The structure in POSCAR format:
```
BaGe2CBr
1.0
4.4323 0.0000 0.0000
0.0000 4.4323 0.0000
0.0000 0.0000 6.3574
Ba Ge C Br
1 2 1 1
Direct
0.0000 0.0000 0.0000
0.0000 0.5000 0.5000
0.5000 0.0000 0.5000
0.0000 0.0000 0.5000
0.5000 0.5000 0.0000
```

Calculated values
Calculated density (Mg/m³): 4.98
Final energy (eV per atom): -4.223

***

Entry from Alexandria: a relaxed structure of LuScBe2 (PBE).

The structure in POSCAR format:
```
LuScBe2
1.0
0.0000 3.2546 3.2546
3.2546 0.0000 3.2546
3.2546 3.2546 0.0000
Lu Sc Be
1 1 2
Direct
0.0000 0.0000 0.0000
0.5000 0.5000 0.5000
0.2500 0.2500 0.2500
0.7500 0.7500 0.7500
```

Calculated values
Calculated density (Mg/m³): 5.73
Formation energy from the elements (meV/atom): 9
Distance to the lowest polymorph of the same formula (meV/atom): 3

***

Entry from Alexandria: a relaxed structure of Mg2ZrHg3 (PBE).

The structure in POSCAR format:
```
Mg2ZrHg3
1.0
3.2674 0.0000 0.0000
0.0000 3.2674 0.0000
0.0000 0.0000 11.8987
Mg Zr Hg
2 1 3
Direct
0.0000 0.0000 0.1638
0.0000 0.0000 0.8362
0.0000 0.0000 0.5000
0.5000 0.5000 0.0000
0.5000 0.5000 0.3272
0.5000 0.5000 0.6728
```

Calculated values
Calculated density (Mg/m³): 9.69
Formation energy from the elements (meV/atom): -207

***

Entry from Alexandria: a relaxed structure of Mg2Cu2Ge (PBE).

The structure in POSCAR format:
```
Mg2Cu2Ge
1.0
6.3794 0.0000 0.0000
0.0000 6.3794 0.0000
0.0000 0.0000 4.0812
Mg Cu Ge
4 4 2
Direct
0.1672 0.3328 0.0000
0.3328 0.8328 0.0000
0.6672 0.1672 0.0000
0.8328 0.6672 0.0000
0.1366 0.6366 0.5000
0.3634 0.1366 0.5000
0.6366 0.8634 0.5000
0.8634 0.3634 0.5000
0.0000 0.0000 0.5000
0.5000 0.5000 0.5000
```

Calculated values
Calculated density (Mg/m³): 4.97
Formation energy from the elements (meV/atom): -102
Distance to the lowest polymorph of the same formula (meV/atom): 57

***

Entry from Alexandria: a relaxed structure of Ni8Hg (PBE).

The structure in POSCAR format:
```
Ni8Hg
1.0
-3.8633 3.8633 1.8012
3.8633 -3.8633 1.8012
3.8633 3.8633 -1.8012
Ni Hg
8 1
Direct
0.0000 0.3424 0.3424
0.0000 0.6576 0.6576
0.3229 0.3229 0.6459
0.3229 0.6771 0.0000
0.3424 0.0000 0.3424
0.6576 0.0000 0.6576
0.6771 0.3229 0.0000
0.6771 0.6771 0.3541
0.0000 0.0000 0.0000
```

Calculated values
Calculated density (Mg/m³): 10.35
Formation energy from the elements (meV/atom): 125

***

Entry from Alexandria: a relaxed structure of InSbPbI2 (PBE).

The structure in POSCAR format:
```
InSbPbI2
1.0
6.3087 0.0000 0.0000
0.0000 6.3087 0.0000
0.0000 0.0000 6.0972
In Sb Pb I
1 1 1 2
Direct
0.0000 0.0000 0.0000
0.5000 0.5000 0.0000
0.5000 0.5000 0.5000
0.0000 0.5000 0.5000
0.5000 0.0000 0.5000
```

Calculated values
Calculated density (Mg/m³): 4.77
Distance to the lowest polymorph of the same formula (meV/atom): 0

***

Entry from Alexandria: a relaxed structure of GaPbC3 (PBE).

The structure in POSCAR format:
```
GaPbC3
1.0
4.5607 0.0000 0.0000
0.0000 4.5607 0.0000
0.0000 0.0000 4.5607
Ga Pb C
1 1 3
Direct
0.0000 0.0000 0.0000
0.5000 0.5000 0.5000
0.0000 0.5000 0.5000
0.5000 0.0000 0.5000
0.5000 0.5000 0.0000
```

Calculated values
Calculated density (Mg/m³): 5.48
Formation energy from the elements (meV/atom): 3322
Distance to the lowest polymorph of the same formula (meV/atom): 804

***

Entry from Alexandria: a relaxed structure of CsLiCaH (PBE).

The structure in POSCAR format:
```
CsLiCaH
1.0
-2.2496 2.2496 6.2552
2.2496 -2.2496 6.2552
2.2496 2.2496 -6.2552
Cs Li Ca H
1 1 1 1
Direct
0.0000 0.0000 0.0000
0.6609 0.6609 0.0000
0.3029 0.3029 0.0000
0.4927 0.4927 0.0000
```

Calculated values
Calculated density (Mg/m³): 2.37
Distance to the lowest polymorph of the same formula (meV/atom): 20

***

Entry from Alexandria: a relaxed structure of TaTl3B (PBE).

The structure in POSCAR format:
```
TaTl3B
1.0
4.8535 0.0000 0.0000
0.0000 4.8535 0.0000
0.0000 0.0000 4.8535
Ta Tl B
1 3 1
Direct
0.0000 0.0000 0.0000
0.0000 0.5000 0.5000
0.5000 0.0000 0.5000
0.5000 0.5000 0.0000
0.5000 0.5000 0.5000
```

Calculated values
Calculated density (Mg/m³): 11.69
Formation energy from the elements (meV/atom): 1443
Distance to the lowest polymorph of the same formula (meV/atom): 0

***

Entry from Alexandria: a relaxed structure of SmTh2Pd (PBE).

The structure in POSCAR format:
```
SmTh2Pd
1.0
1.8704 1.0799 9.8672
-1.8704 1.0799 9.8672
0.0000 -2.1597 9.8672
Sm Th Pd
1 2 1
Direct
0.0000 0.0000 0.0000
0.5705 0.5705 0.5705
0.7657 0.7657 0.7657
0.1699 0.1699 0.1699
```

Calculated values
Calculated density (Mg/m³): 10.01
Formation energy from the elements (meV/atom): -188
Distance to the lowest polymorph of the same formula (meV/atom): 189